(1)
YTaOs2 | PBE | optimized geometry

Summary:
Magnetization, μB/f.u.: 0.0
Formation energy from the elements, eV per atom: 0.2613
Electronic total energy, eV per atom: -9.93
D(E_F), states/eV/f.u.: 2.69

a = 3.0681 Å, b = 4.2497 Å, c = 5.8862 Å
α = 90.00°, β = 90.00°, γ = 90.00°
With the nearest neighbours (Å) after each atom.
Fractional positions:
1 Os 0.0000 0.0000 0.0000  1 Ta 2.44
2 Os 0.5000 0.5000 0.2951  4 Ta 2.71, 2 Y 2.92-2.97
3 Y 0.5000 0.5000 0.7904  6 Os 2.90-2.97, 2 Y 3.07
4 Ta 0.0000 0.0000 0.4145  5 Os 2.44-2.71

(2)
SrAlSe | PBE | optimized geometry

Summary:
Magnetization, μB/f.u.: 0.0
Electronic total energy, eV per atom: -3.56
Uncorrected formation energy, eV/atom: -0.59
D(E_F), states/eV/f.u.: 2.27
Offset from the most stable computed form, meV per atom: 88.4

a = 3.9805 Å, b = 3.9805 Å, c = 6.2570 Å
α = 90.00°, β = 90.00°, γ = 120.00°
With the nearest neighbours (Å) after each atom.
Fractional positions:
1 Sr 0.3333 0.6667 0.6478  3 Se 3.18, 3 Al 3.43
2 Se 0.6667 0.3333 0.2967  3 Al 2.75
3 Al 0.0000 0.0000 0.0556  3 Se 2.75

(3)
Dy2PdPb | PBE | optimized geometry

Summary:
Magnetization, μB/f.u.: 0.0
Formation energy from the elements, eV per atom: -0.5381
Electronic total energy, eV per atom: -5.06
D(E_F), states/eV/f.u.: 3.13

a = 3.8961 Å, b = 3.8961 Å, c = 8.6773 Å
α = 77.03°, β = 77.03°, γ = 60.00°
With the nearest neighbours (Å) after each atom.
Fractional positions:
1 Dy 0.2650 0.2650 0.2050  3 Pd 2.83
2 Dy 0.7350 0.7350 0.7950  3 Pd 2.83
3 Pb 0.5000 0.5000 0.5000  6 Dy 3.34
4 Pd 0.0000 0.0000 0.0000  6 Dy 2.83

(4)
MgTaCu | PBE | optimized geometry

Summary:
Magnetization, μB/f.u.: 0.0
Formation energy from the elements, eV per atom: 0.1354
Electronic total energy, eV per atom: -5.71
D(E_F), states/eV/f.u.: 1.73
Offset from the most stable computed form, meV per atom: 53.6

a = 6.2766 Å, b = 2.9775 Å, c = 10.7680 Å
α = 90.00°, β = 90.00°, γ = 90.00°
With the nearest neighbours (Å) after each atom.
Fractional positions:
1 Mg 0.1174 0.7500 0.6026  4 Cu 2.68, 2 Mg 2.98
2 Mg 0.8826 0.2500 0.3974  4 Cu 2.68, 2 Mg 2.98
3 Mg 0.3826 0.2500 0.1026  4 Cu 2.68, 2 Mg 2.98
4 Mg 0.6174 0.7500 0.8974  4 Cu 2.68, 2 Mg 2.98
5 Ta 0.3974 0.2500 0.4095  4 Cu 2.76, 4 Ta 2.77-2.98, 1 Mg 3.05
6 Ta 0.1026 0.7500 0.9095  4 Cu 2.76, 4 Ta 2.77-2.98, 1 Mg 3.05
7 Ta 0.6026 0.7500 0.5905  4 Cu 2.76, 4 Ta 2.77-2.98, 1 Mg 3.05
8 Ta 0.8974 0.2500 0.0905  4 Cu 2.76, 4 Ta 2.77-2.98, 1 Mg 3.05
9 Cu 0.6398 0.7500 0.2461  4 Mg 2.68, 4 Ta 2.76, 2 Cu 2.98
10 Cu 0.1398 0.7500 0.2539  4 Mg 2.68, 4 Ta 2.76, 2 Cu 2.98
11 Cu 0.8602 0.2500 0.7461  4 Mg 2.68, 4 Ta 2.76, 2 Cu 2.98
12 Cu 0.3602 0.2500 0.7539  4 Mg 2.68, 4 Ta 2.76, 2 Cu 2.98

(5)
KNb3Ge | PBE | optimized geometry

Summary:
Magnetization, μB/f.u.: 0.0
Formation energy from the elements, eV per atom: 2.5121
Electronic total energy, eV per atom: -4.67
D(E_F), states/eV/f.u.: 3.13
Offset from the most stable computed form, meV per atom: 1271.5

a = 4.6320 Å, b = 4.6320 Å, c = 4.6320 Å
α = 90.00°, β = 90.00°, γ = 90.00°
With the nearest neighbours (Å) after each atom.
Fractional positions:
1 Nb 0.0000 0.0000 0.5000  2 K 2.32
2 Nb 0.0000 0.5000 0.0000  2 K 2.32
3 Nb 0.5000 0.0000 0.0000  2 K 2.32
4 Ge 0.5000 0.5000 0.5000  12 Nb 3.28
5 K 0.0000 0.0000 0.0000  6 Nb 2.32

(6)
CuAs2Au2 | PBE | optimized geometry

Summary:
Magnetization, μB/f.u.: 0.0
Formation energy from the elements, eV per atom: 0.2208
Electronic total energy, eV per atom: -3.77
D(E_F), states/eV/f.u.: 1.98

a = 6.7319 Å, b = 6.7319 Å, c = 4.1301 Å
α = 90.00°, β = 90.00°, γ = 90.00°
With the nearest neighbours (Å) after each atom.
Fractional positions:
1 Au 0.8490 0.3490 0.5000  6 As 2.69-2.98, 1 Au 2.88
2 Au 0.6510 0.8490 0.5000  6 As 2.69-2.98, 1 Au 2.88
3 Au 0.1510 0.6510 0.5000  6 As 2.69-2.98, 1 Au 2.88
4 Au 0.3490 0.1510 0.5000  6 As 2.69-2.98, 1 Au 2.88
5 As 0.6676 0.1676 0.0000  2 Cu 2.51, 2 Au 2.69
6 As 0.3324 0.8324 0.0000  2 Cu 2.51, 2 Au 2.69
7 As 0.8324 0.6676 0.0000  2 Cu 2.51, 2 Au 2.69
8 As 0.1676 0.3324 0.0000  2 Cu 2.51, 2 Au 2.69
9 Cu 0.0000 0.0000 0.0000  4 As 2.51
10 Cu 0.5000 0.5000 0.0000  4 As 2.51

(7)
Co8PtRh2 | PBE | optimized geometry

Summary:
Magnetization, μB/f.u.: 15.7
Formation energy from the elements, eV per atom: 0.0117
Electronic total energy, eV per atom: -7.04
D(E_F), states/eV/f.u.: 13.89

a = 3.6659 Å, b = 5.7606 Å, c = 6.8149 Å
α = 104.75°, β = 105.60°, γ = 90.00°
With the nearest neighbours (Å) after each atom.
Fractional positions:
1 Rh 0.2251 0.6418 0.4501  10 Co 2.54-2.68, 2 Rh 2.65
2 Rh 0.7749 0.3582 0.5499  10 Co 2.54-2.68, 2 Rh 2.65
3 Co 0.6821 0.9090 0.3641  8 Co 2.53-2.62, 3 Rh 2.55, 1 Pt 2.58
4 Co 0.0428 0.7179 0.0855  9 Co 2.46-2.62, 1 Rh 2.54, 2 Pt 2.61
5 Co 0.8616 0.8241 0.7232  7 Co 2.53-2.66, 3 Rh 2.58-2.62, 2 Pt 2.59
6 Co 0.5869 0.4599 0.1738  8 Co 2.44-2.66, 1 Pt 2.59, 3 Rh 2.60-2.68
7 Co 0.4131 0.5401 0.8262  8 Co 2.44-2.66, 1 Pt 2.59, 3 Rh 2.60-2.68
8 Co 0.1384 0.1759 0.2768  7 Co 2.53-2.66, 3 Rh 2.58-2.62, 2 Pt 2.59
9 Co 0.9572 0.2821 0.9145  9 Co 2.46-2.62, 1 Rh 2.54, 2 Pt 2.61
10 Co 0.3179 0.0910 0.6359  8 Co 2.53-2.62, 3 Rh 2.55, 1 Pt 2.58
11 Pt 0.5000 0.0000 0.0000  12 Co 2.58-2.61

(8)
Al2SiAs | PBE | optimized geometry

Summary:
Magnetization, μB/f.u.: 0.0
Electronic total energy, eV per atom: -4.16
Uncorrected formation energy, eV/atom: 0.23
D(E_F), states/eV/f.u.: 0.96
Offset from the most stable computed form, meV per atom: 232.8

a = 5.0087 Å, b = 5.0087 Å, c = 4.8072 Å
α = 73.01°, β = 73.01°, γ = 36.17°
With the nearest neighbours (Å) after each atom.
Fractional positions:
1 Si 0.2500 0.2500 0.2500  6 Al 2.75-3.00, 4 As 2.86
2 Al 0.9956 0.9956 0.0041  3 Si 2.75-3.00, 3 As 2.82-2.95, 4 Al 2.85-2.87
3 Al 0.5044 0.5044 0.4959  3 Si 2.75-3.00, 3 As 2.82-2.95, 4 Al 2.85-2.87
4 As 0.7500 0.7500 0.7500  6 Al 2.82-2.95, 4 Si 2.86, 2 As 3.11

(9)
SrAg2Os | PBE | optimized geometry

Summary:
Magnetization, μB/f.u.: 0.0
Formation energy from the elements, eV per atom: 0.6223
Electronic total energy, eV per atom: -4.03
D(E_F), states/eV/f.u.: 2.87
Offset from the most stable computed form, meV per atom: 21.3

a = 4.9996 Å, b = 2.8395 Å, c = 5.8016 Å
α = 80.69°, β = 90.00°, γ = 90.00°
With the nearest neighbours (Å) after each atom.
Fractional positions:
1 Ag 0.0000 0.0555 0.0342  4 Ag 2.81-2.90, 2 Os 2.89
2 Ag 0.0000 0.4445 0.4658  4 Ag 2.81-2.90, 2 Os 2.89
3 Os 0.5000 0.2500 0.2500  2 Os 2.84, 4 Ag 2.89, 2 Sr 3.02
4 Sr 0.5000 0.7500 0.7500  2 Sr 2.84, 2 Os 3.02

(10)
Tb2ErTm3Sb6 | PBE | optimized geometry

Summary:
Magnetization, μB/f.u.: 0.0
Electronic total energy, eV per atom: -5.43
Uncorrected formation energy, eV/atom: -1.10
D(E_F), states/eV/f.u.: 1.90

a = 4.3598 Å, b = 8.7200 Å, c = 9.7476 Å
α = 102.85°, β = 102.92°, γ = 90.00°
With the nearest neighbours (Å) after each atom.
Fractional positions:
1 Tb 0.1664 0.3329 0.3328  6 Sb 3.10-3.11
2 Tb 0.8336 0.6671 0.6672  6 Sb 3.10-3.11
3 Tm 0.5000 0.5000 0.0000  6 Sb 3.07-3.08
4 Tm 0.1672 0.8333 0.3343  6 Sb 3.06-3.07
5 Tm 0.8328 0.1667 0.6657  6 Sb 3.06-3.07
6 Sb 0.6667 0.0799 0.3334  3 Tm 3.06-3.07, 1 Er 3.08, 2 Tb 3.10
7 Sb 0.3333 0.9201 0.6666  3 Tm 3.06-3.07, 1 Er 3.08, 2 Tb 3.10
8 Sb 0.3343 0.4143 0.6686  3 Tm 3.06-3.07, 3 Tb 3.10-3.11
9 Sb 0.9987 0.2501 0.9973  3 Tm 3.07-3.08, 2 Er 3.09, 1 Tb 3.10
10 Sb 0.0013 0.7499 0.0027  3 Tm 3.07-3.08, 2 Er 3.09, 1 Tb 3.10
11 Sb 0.6657 0.5857 0.3314  3 Tm 3.06-3.07, 3 Tb 3.10-3.11
12 Er 0.5000 0.0000 0.0000  6 Sb 3.08-3.09

(11)
EuGdBi2 | PBE | optimized geometry

Summary:
Magnetization, μB/f.u.: 13.5
Formation energy from the elements, eV per atom: -0.8098
Electronic total energy, eV per atom: -8.84
D(E_F), states/eV/f.u.: 12.32
Offset from the most stable computed form, meV per atom: 0.0

a = 4.5886 Å, b = 4.5886 Å, c = 8.0314 Å
α = 73.40°, β = 73.40°, γ = 60.00°
With the nearest neighbours (Å) after each atom.
Fractional positions:
1 Eu 0.5000 0.5000 0.5000  6 Bi 3.31
2 Bi 0.7461 0.7461 0.7617  3 Gd 3.21, 3 Eu 3.31
3 Bi 0.2539 0.2539 0.2383  3 Gd 3.21, 3 Eu 3.31
4 Gd 0.0000 0.0000 0.0000  6 Bi 3.21

(12)
BaYZn2Ag | PBE | optimized geometry

Summary:
Magnetization, μB/f.u.: 0.0
Formation energy from the elements, eV per atom: 0.2244
Electronic total energy, eV per atom: -2.53
D(E_F), states/eV/f.u.: 5.31

a = 5.5520 Å, b = 5.5666 Å, c = 5.5520 Å
α = 90.00°, β = 90.00°, γ = 90.00°
With the nearest neighbours (Å) after each atom.
Fractional positions:
1 Zn 0.0000 0.0000 0.5000  2 Y 2.78
2 Zn 0.5000 0.0000 0.0000  2 Y 2.78
3 Y 0.0000 0.0000 0.0000  4 Zn 2.78, 2 Ag 2.78
4 Ba 0.5000 0.5000 0.5000  4 Ag 3.93, 8 Zn 3.93
5 Ag 0.0000 0.5000 0.0000  2 Y 2.78

What is the formula in the eighth record? Al2SiAs

Which of these has the lowest D(E_F)? Al2SiAs